! DyAg2 PBE-GGA relaxed; values from VASP
! Total magnetization, μB/f.u.: 0.0
! Energy of formation, eV/f.u.: -0.99
! VASP energy, eV per formula unit: -11.24
&SYSTEM
  ibrav = 0, nat = 6, ntyp = 2
/
ATOMIC_SPECIES
Ag 107.87 Ag.upf
Dy 162.50 Dy.upf
ATOMIC_POSITIONS angstrom
Ag -2.601 -6.176 0.375
Ag -0.459 -7.329 2.164
Ag -2.414 -3.181 -0.510
Ag -0.094 -1.499 0.442
Dy -2.231 -0.265 -1.370
Dy -0.276 -4.412 1.302
CELL_PARAMETERS angstrom
-3.618 0.448 0.749
-0.844 -0.977 -3.490
-0.553 -8.827 2.606



! PrNdBrN PBE-GGA relaxed; values from VASP
! Total magnetization, μB/f.u.: 0.0
! VASP energy, eV per formula unit: -25.17
&SYSTEM
  ibrav = 0, nat = 8, ntyp = 4
/
ATOMIC_SPECIES
Br 79.90 Br.upf
Nd 144.24 Nd.upf
N 14.01 N.upf
Pr 140.91 Pr.upf
ATOMIC_POSITIONS angstrom
Br 0.000 0.000 0.000
Br 0.000 2.151 7.360
Nd 0.000 2.151 2.351
Nd 0.000 2.151 12.370
N 1.863 1.076 11.094
N 1.863 1.076 3.627
Pr 0.000 0.000 5.016
Pr 0.000 0.000 9.704
CELL_PARAMETERS angstrom
3.726 0.000 0.000
-1.863 3.227 0.000
0.000 0.000 14.721